[1]
A geometry-optimized HfTcPS2 structure, computed with PBE-GGA.

```
HfTcPS2
1.0
4.8521 0.0000 0.0000
0.0000 4.8521 0.0000
0.0000 0.0000 5.0698
Hf Tc P S
1 1 1 2
Direct
0.0000 0.0000 0.0000
0.5000 0.5000 0.5000
0.0000 0.0000 0.5000
0.0000 0.5000 0.0000
0.5000 0.0000 0.0000
```

Values from the calculation:
E_form (uncorrected) in kJ per mole of atoms: 38
Distance to the lowest polymorph of the same formula in meV per atom: 79.9
Electronic total energy in eV/atom: -6.40
Spin magnetization in μB/cell: 4.315



[2]
A geometry-optimized NaLaTmHg structure, computed with PBE-GGA.

```
NaLaTmHg
1.0
0.0000 3.8613 3.8613
3.8613 0.0000 3.8613
3.8613 3.8613 0.0000
Na La Tm Hg
1 1 1 1
Direct
0.0000 0.0000 0.0000
0.7500 0.7500 0.7500
0.2500 0.2500 0.2500
0.5000 0.5000 0.5000
```

Values from the calculation:
Formation energy in eV/atom: -0.0528
Electronic total energy in eV/atom: -2.81
Spin magnetization in μB/cell: 0.592



[3]
A geometry-optimized DyNi3Ge2 structure, computed with PBE-GGA.

```
DyNi3Ge2
1.0
7.4489 -1.9370 0.0000
7.4489 1.9370 0.0000
-3.0852 0.0000 6.3949
Dy Ni Ge
2 6 4
Direct
0.1511 0.1511 0.0691
0.8489 0.8489 0.9309
0.0398 0.0398 0.3780
0.3137 0.3137 0.5520
0.4089 0.4089 0.3350
0.5911 0.5911 0.6650
0.6863 0.6863 0.4480
0.9602 0.9602 0.6220
0.1913 0.1913 0.6842
0.4786 0.4786 0.8116
0.5214 0.5214 0.1884
0.8087 0.8087 0.3158
```

Values from the calculation:
Formation energy in eV/atom: -0.5535
Electronic total energy in eV/atom: -5.75
Spin magnetization in μB/cell: 0.000



[4]
A geometry-optimized KPb2Se structure, computed with PBE-GGA.

```
KPb2Se
1.0
5.7428 -1.9477 0.0000
5.7428 1.9477 0.0000
-3.2627 0.0000 5.9413
K Pb Se
1 2 1
Direct
0.0000 0.0000 0.0000
0.6186 0.6186 0.5873
0.8404 0.8404 0.3777
0.2714 0.2714 0.9900
```

Values from the calculation:
E_form (uncorrected) in kJ per mole of atoms: -35
Electronic total energy in eV/atom: -3.36
Spin magnetization in μB/cell: 0.000